[1]
CaSnSe2 (PBE, optimized geometry); energy relative to the elements, uncorrected = -1.112 eV per atom; total magnetic moment = 0.00 μB/f.u.; symmetry = R3m, No. 160; crystal system = trigonal
1.0
-0.028 3.895 -1.521
-3.000 2.674 1.155
3.152 4.422 5.517
Se Sn Ca
2 1 1
direct
0.085 0.085 0.745 Se
0.249 0.249 0.252 Se
0.667 0.667 0.999 Sn
0.499 0.499 0.504 Ca

[2]
CrNiS4 (PBE, optimized geometry); energy relative to the elements, uncorrected = -0.330 eV per atom; total magnetic moment = 2.10 μB/f.u.; symmetry = Imma, No. 74; DOS(E_F) = 7.05 states/eV/cell; crystal system = orthorhombic
1.0
6.848 0.000 0.000
0.000 6.603 0.000
-3.424 -3.302 4.743
S Cr Ni
8 2 2
direct
0.750 0.758 0.015 S
0.250 0.242 0.985 S
0.266 0.758 0.015 S
0.253 0.777 0.506 S
0.253 0.230 0.506 S
0.747 0.223 0.494 S
0.734 0.242 0.985 S
0.747 0.770 0.494 S
0.500 0.000 0.000 Cr
0.500 0.500 0.000 Cr
0.500 0.000 0.500 Ni
0.000 0.000 0.500 Ni

[3]
TeIrO3 (PBE, optimized geometry); energy relative to the elements, uncorrected = -0.050 eV per atom; total magnetic moment = 0.00 μB/f.u.; symmetry = Pm-3m, No. 221; DOS(E_F) = 1.87 states/eV/cell; crystal system = cubic
1.0
-2.554 2.367 -1.909
1.198 -1.508 -3.472
-2.795 -2.809 0.256
O Ir Te
3 1 1
direct
0.000 0.500 0.000 O
0.500 0.000 0.000 O
0.000 0.000 0.500 O
0.000 0.000 0.000 Ir
0.500 0.500 0.500 Te

[4]
NaLi8Pb2 (PBE, optimized geometry); total magnetic moment = 0.00 μB/f.u.; symmetry = Immm, No. 71; DOS(E_F) = 3.11 states/eV/cell; crystal system = orthorhombic; energy of formation from the pure elements = -0.1835 eV per atom
1.0
4.872 0.000 0.000
0.000 6.527 -0.211
-2.436 -3.025 7.465
Li Na Pb
8 1 2
direct
0.825 0.824 0.649 Li
0.000 0.292 0.000 Li
0.000 0.708 0.000 Li
0.667 0.896 0.333 Li
0.333 0.104 0.667 Li
0.175 0.176 0.351 Li
0.334 0.563 0.667 Li
0.666 0.437 0.333 Li
0.500 0.000 0.000 Na
0.823 0.323 0.646 Pb
0.177 0.677 0.354 Pb

[5]
YScRe2 (PBE, optimized geometry); total magnetic moment = 0.00 μB/f.u.; symmetry = Cmmm, No. 65; DOS(E_F) = 5.12 states/eV/cell; crystal system = orthorhombic; energy of formation from the pure elements = 0.4558 eV per atom
1.0
5.289 0.362 0.000
-1.792 4.990 0.000
0.000 0.000 2.811
Re Y Sc
2 1 1
direct
0.000 0.000 0.000 Re
0.500 0.500 0.000 Re
0.000 0.500 0.500 Y
0.500 0.000 0.500 Sc

[6]
TbTc (PBE, optimized geometry); total magnetic moment = 0.00 μB/f.u.; symmetry = P2_1/m, No. 11; DOS(E_F) = 4.89 states/eV/cell; crystal system = monoclinic; energy of formation from the pure elements = 0.0277 eV per atom
1.0
-3.669 0.332 -1.622
0.022 -4.479 -0.966
-2.148 1.242 5.114
Tc Tb
2 2
direct
0.750 0.061 0.119 Tc
0.250 0.939 0.881 Tc
0.250 0.645 0.288 Tb
0.750 0.355 0.712 Tb

[7]
CoP2W (PBE, optimized geometry); total magnetic moment = 0.01 μB/f.u.; symmetry = Pmm2, No. 25; DOS(E_F) = 2.85 states/eV/cell; crystal system = orthorhombic; energy of formation from the pure elements = -0.1668 eV per atom
1.0
4.382 0.000 0.000
0.000 2.943 0.005
0.000 -0.006 4.037
Co W P
1 1 2
direct
0.500 0.875 0.768 Co
0.000 0.375 0.503 W
0.000 0.875 0.990 P
0.500 0.375 0.239 P

[8]
Ac4SnGe2 (PBE, optimized geometry); total magnetic moment = 0.00 μB/f.u.; symmetry = I-42d, No. 122; DOS(E_F) = 0.74 states/eV/cell; crystal system = tetragonal; energy of formation from the pure elements = -0.6914 eV per atom
1.0
8.190 0.436 -2.602
-4.270 7.002 -2.603
-0.232 -0.440 8.590
Ge Ac Sn
4 8 2
direct
0.500 0.875 0.125 Ge
0.750 0.375 0.875 Ge
0.125 0.250 0.625 Ge
0.625 0.500 0.375 Ge
0.506 0.620 0.756 Ac
0.380 0.135 0.885 Ac
0.865 0.750 0.244 Ac
0.870 0.256 0.256 Ac
0.000 0.615 0.744 Ac
0.744 0.000 0.615 Ac
0.250 0.494 0.115 Ac
0.385 0.130 0.385 Ac
0.250 0.750 0.500 Sn
0.000 0.000 0.000 Sn

no.,total DFT energy (no corrections) (eV/atom)
1,-4.355
2,-5.649
3,-5.425
4,-2.370
5,-8.967
6,-7.470
7,-7.887
8,-4.930